Entry 1:
A relaxed structure of Cs2Ag2As, computed with PBE-GGA.

Structure (POSCAR):
```
Cs2Ag2As
1.0
3.9125 0.0000 0.0000
0.0000 3.9125 0.0000
1.9562 1.9562 11.6501
As Cs Ag
1 2 2
Direct
0.0000 0.0000 0.0000
0.3971 0.3971 0.2058
0.6029 0.6029 0.7942
0.7500 0.2500 0.5000
0.2500 0.7500 0.5000
```

Computed properties:
- ΔH_f (0 K) (eV per atom) = 0.060
- V (Å³ per atom) = 35.7
- uncorrected energy (eV per atom) = -2.352


Entry 2:
A relaxed structure of HgRhN2, computed with PBE-GGA.

Structure (POSCAR):
```
HgRhN2
1.0
-0.9444 5.3454 3.5840
-1.6723 2.9688 5.5408
1.3513 3.7925 5.1090
N Hg Rh
2 1 1
Direct
0.8864 0.8864 0.8864
0.1136 0.1136 0.1136
0.0000 0.0000 0.0000
0.5000 0.5000 0.5000
```

Computed properties:
- V (Å³ per atom) = 13.5
- uncorrected energy (eV per atom) = -5.314
- formation energy (no corrections) (meV/atom) = 762


Entry 3:
A relaxed structure of Pm4CdAu, computed with PBE-GGA.

Structure (POSCAR):
```
Pm4CdAu
1.0
8.7063 0.0000 5.0266
2.9021 8.2084 5.0266
0.0000 0.0000 10.0532
Cd Pm Au
4 16 4
Direct
0.1689 0.1689 0.4934
0.1689 0.1689 0.1689
0.4934 0.1689 0.1689
0.1689 0.4934 0.1689
0.3939 0.3939 0.8183
0.1834 0.8166 0.8166
0.5569 0.5569 0.9431
0.3939 0.3939 0.3939
0.9431 0.5569 0.9431
0.1834 0.1834 0.8166
0.8166 0.1834 0.1834
0.3939 0.8183 0.3939
0.1834 0.8166 0.1834
0.8166 0.1834 0.8166
0.9431 0.5569 0.5569
0.8166 0.8166 0.1834
0.5569 0.9431 0.9431
0.5569 0.9431 0.5569
0.8183 0.3939 0.3939
0.9431 0.9431 0.5569
0.6051 0.6051 0.1847
0.6051 0.6051 0.6051
0.1847 0.6051 0.6051
0.6051 0.1847 0.6051
```

Computed properties:
- ΔH_f (0 K) (eV per atom) = -0.378
- V (Å³ per atom) = 29.9
- uncorrected energy (eV per atom) = -4.243


Entry 4:
A relaxed structure of MgBeRe2, computed with PBE-GGA.

Structure (POSCAR):
```
MgBeRe2
1.0
8.8348 -0.0024 -0.0014
8.4071 2.7156 -0.0014
8.4071 1.3229 2.3715
Re Mg Be
2 1 1
Direct
0.5076 0.5076 0.5076
0.9924 0.9924 0.9924
0.7500 0.7500 0.7500
0.2500 0.2500 0.2500
```

Computed properties:
- ΔH_f (0 K) (eV per atom) = 0.300
- V (Å³ per atom) = 14.2
- uncorrected energy (eV per atom) = -7.255


Entry 5:
A relaxed structure of Cd2Cu2Pd3, computed with PBE-GGA.

Structure (POSCAR):
```
Cd2Cu2Pd3
1.0
3.9486 0.0000 0.5240
0.0000 2.9149 0.0000
0.7182 0.0000 9.7271
Pd Cu Cd
3 2 2
Direct
0.8405 0.0000 0.3190
0.1595 0.0000 0.6810
0.0000 0.0000 0.0000
0.7164 0.5000 0.5671
0.2836 0.5000 0.4329
0.5783 0.5000 0.8434
0.4217 0.5000 0.1566
```

Computed properties:
- ΔH_f (0 K) (eV per atom) = -0.213
- V (Å³ per atom) = 15.8
- uncorrected energy (eV per atom) = -3.870


Entry 6:
A relaxed structure of Li11Ag9Pd4, computed with PBE-GGA.

Structure (POSCAR):
```
Li11Ag9Pd4
1.0
2.9241 0.0000 0.0000
0.0000 10.9006 -4.7056
0.0000 -0.0433 11.8728
Ag Li Pd
9 11 4
Direct
0.5000 0.0459 0.2038
0.5000 0.1545 0.6253
0.5000 0.9541 0.7962
0.5000 0.6253 0.1545
0.5000 0.7962 0.9541
0.5000 0.5000 0.5000
0.5000 0.8455 0.3747
0.5000 0.3747 0.8455
0.5000 0.2038 0.0459
0.0000 0.8342 0.1658
0.0000 0.6310 0.3690
0.0000 0.4062 0.0539
0.0000 0.5938 0.9461
0.0000 0.3690 0.6310
0.0000 0.1658 0.8342
0.0000 0.2736 0.2736
0.0000 0.7264 0.7264
0.0000 0.0000 0.0000
0.0000 0.0539 0.4062
0.0000 0.9461 0.5938
0.5000 0.7551 0.5614
0.5000 0.2449 0.4386
0.5000 0.4386 0.2449
0.5000 0.5614 0.7551
```

Computed properties:
- ΔH_f (0 K) (eV per atom) = -0.238
- V (Å³ per atom) = 15.7
- uncorrected energy (eV per atom) = -3.050


Number 1: total moment 0.00 μB/f.u., calculated density 5.18 g/cm³. Number 2: total moment 0.00 μB/f.u., calculated density 10.17 g/cm³. Number 3: total moment 0.00 μB/f.u., calculated density 8.22 g/cm³. Number 4: total moment 0.00 μB/f.u., calculated density 11.82 g/cm³. Number 5: total moment 0.00 μB/f.u., calculated density 10.05 g/cm³. Number 6: total moment 0.00 μB/f.u., calculated density 6.47 g/cm³.